# TcW2O

An optimized crystal structure of TcW2O (GGA+U, Alexandria via LeMat-Bulk).

```
TcW2O
1.0
-3.108 3.108 3.117
3.108 -3.108 3.117
3.108 3.108 -3.117
Tc W O
2 4 2
Cartesian
0.000 0.000 0.000
0.000 3.108 1.558
1.554 -1.107 2.338
2.001 1.554 0.779
1.554 4.214 -0.779
1.107 1.554 3.896
3.108 0.000 1.558
0.000 0.000 3.117
```

## Properties
- VASP energy: -55.8 eV for the cell shown
- ρ: 13.3 g cm⁻³
- V: 60.20 Å³/f.u.